1.
A relaxed structure of Hf5Os4Pt. Source: Alexandria, functional PBE-GGA. Values from VASP.

The structure in Quantum ESPRESSO input format:
```
&SYSTEM
  ibrav = 0, nat = 10, ntyp = 3
/
ATOMIC_SPECIES
Hf 178.49 Hf.upf
Os 190.23 Os.upf
Pt 195.08 Pt.upf
CELL_PARAMETERS angstrom
3.2171 0.0000 0.0000
0.0000 3.2171 0.0000
0.0000 0.0000 16.9022
ATOMIC_POSITIONS crystal
Hf 0.0000 0.0000 0.0000
Hf 0.0000 0.0000 0.1954
Hf 0.0000 0.0000 0.3923
Hf 0.0000 0.0000 0.6077
Hf 0.0000 0.0000 0.8046
Os 0.5000 0.5000 0.0977
Os 0.5000 0.5000 0.2941
Os 0.5000 0.5000 0.7059
Os 0.5000 0.5000 0.9023
Pt 0.5000 0.5000 0.5000
```

2.
A relaxed structure of Hf2Os2Pt. Source: Alexandria, functional PBE-GGA. Values from VASP.

The structure in Quantum ESPRESSO input format:
```
&SYSTEM
  ibrav = 0, nat = 10, ntyp = 3
/
ATOMIC_SPECIES
Hf 178.49 Hf.upf
Os 190.23 Os.upf
Pt 195.08 Pt.upf
CELL_PARAMETERS angstrom
6.8736 0.0000 0.0000
0.0000 6.8736 0.0000
0.0000 0.0000 3.8148
ATOMIC_POSITIONS crystal
Hf 0.1798 0.3202 0.0000
Hf 0.3202 0.8202 0.0000
Hf 0.6798 0.1798 0.0000
Hf 0.8202 0.6798 0.0000
Os 0.1275 0.6275 0.5000
Os 0.3725 0.1275 0.5000
Os 0.6275 0.8725 0.5000
Os 0.8725 0.3725 0.5000
Pt 0.0000 0.0000 0.5000
Pt 0.5000 0.5000 0.5000
```

In eV per atom, the ΔE_f values for the records above are, in order, -0.74 -0.38.